Entry 1:
Density functional theory data (PBE-GGA) for crystalline Rb2BeSI6 at its relaxed geometry.

Computed properties:
The density is 4.2 g/cm3. For the formation energy (no corrections), the calculation gives -0.508 eV/atom.

Unit cell a=8.2741 b=8.2741 c=8.2741 alpha=122.25 beta=122.25 gamma=86.14
Closest atoms and distances in Å follow each position.
Positions (direct):
Rb1 0.2500 0.7500 0.5000  12 I 4.01-4.15
Rb2 0.7500 0.2500 0.5000  12 I 4.01-4.15
Be1 0.0000 0.0000 0.0000  4 I 2.54
S1 0.5000 0.5000 0.0000  2 I 2.70
I1 0.2251 0.2251 0.4502  1 Be 2.54
I2 0.2251 0.7749 0.0000  1 Be 2.54
I3 0.2769 0.2769 0.0000  1 S 2.70
I4 0.7231 0.7231 0.0000  1 S 2.70
I5 0.7749 0.2251 0.0000  1 Be 2.54
I6 0.7749 0.7749 0.5498  1 Be 2.54

---

Entry 2:
Density functional theory data (PBE-GGA) for crystalline Li2BeAl at its relaxed geometry.

Computed properties:
The density is 1.5 g/cm3. The polymorph energy (0 for the lowest one) is 72 meV per atom. For the calculated formation energy, the calculation gives 39.3 meV per atom.

Unit cell a=2.7968 b=2.7968 c=7.2444 alpha=90.00 beta=90.00 gamma=90.00
Closest atoms and distances in Å follow each position.
Positions (direct):
Li1 0.0000 0.0000 0.0000  4 Be 2.51, 4 Li 2.80
Li2 0.5000 0.5000 0.2963  8 Li 2.80-2.92, 4 Al 2.81
Be1 0.5000 0.5000 0.7873  4 Li 2.51, 4 Al 2.52, 4 Be 2.80
Al1 0.0000 0.0000 0.5714  4 Be 2.52, 4 Al 2.80, 4 Li 2.81

---

Entry 3:
Density functional theory data (PBE-GGA) for crystalline ZrRhBr2 at its relaxed geometry.

Computed properties:
The density is 5.3 g/cm3. For the formation energy (no corrections), the calculation gives -0.572 eV/atom. The polymorph energy (0 for the lowest one) is 124 meV per atom.

Unit cell a=3.4709 b=4.1888 c=15.1607 alpha=90.00 beta=90.00 gamma=90.00
Closest atoms and distances in Å follow each position.
Positions (direct):
Zr1 0.0000 0.0000 0.0000  4 Rh 2.72, 4 Br 2.77
Zr2 0.5000 0.5000 0.5000  4 Rh 2.72, 4 Br 2.77
Rh1 0.0000 0.0000 0.5000  4 Zr 2.72, 4 Br 3.01
Rh2 0.5000 0.5000 0.0000  4 Zr 2.72, 4 Br 3.01
Br1 0.0000 0.5000 0.3572  2 Zr 2.77, 2 Rh 3.01
Br2 0.0000 0.5000 0.6428  2 Zr 2.77, 2 Rh 3.01
Br3 0.5000 0.0000 0.1428  2 Zr 2.77, 2 Rh 3.01
Br4 0.5000 0.0000 0.8572  2 Zr 2.77, 2 Rh 3.01

---

Entry 4:
Density functional theory data (PBE-GGA) for crystalline TlCr2Cl at its relaxed geometry.

Computed properties:
The density is 7.0 g/cm3. For the formation energy (no corrections), the calculation gives 0.132 eV/atom. The polymorph energy (0 for the lowest one) is 0 meV per atom.

Unit cell a=3.0575 b=3.2320 c=16.5420 alpha=90.00 beta=90.00 gamma=90.00
Closest atoms and distances in Å follow each position.
Positions (direct):
Tl1 0.0000 0.0000 0.0000  4 Tl 3.06-3.23, 4 Cr 3.09
Tl2 0.0000 0.5000 0.5000  4 Tl 3.06-3.23, 4 Cr 3.09
Cr1 0.0000 0.0000 0.2075  2 Cl 2.37, 4 Cr 2.57
Cr2 0.0000 0.5000 0.7075  2 Cl 2.37, 4 Cr 2.57
Cr3 0.5000 0.0000 0.6294  4 Cr 2.57
Cr4 0.5000 0.5000 0.1294  4 Cr 2.57
Cl1 0.5000 0.0000 0.3170  2 Cr 2.37
Cl2 0.5000 0.5000 0.8170  2 Cr 2.37